DFT (PBE) results for a geometry-optimized Nb6Ga3Fe structure.

Geometry as CIF:
```
data_Nb6Ga3Fe
_cell_length_a 4.9655
_cell_length_b 7.6374
_cell_length_c 10.3210
_cell_angle_alpha 90.00
_cell_angle_beta 117.42
_cell_angle_gamma 90.00
_symmetry_space_group_name_H-M 'P 1 21/c 1'
_symmetry_Int_Tables_number 14
_symmetry_space_group_name_Hall '-P 2ybc'
loop_
_atom_site_label
_atom_site_type_symbol
_atom_site_fract_x
_atom_site_fract_y
_atom_site_fract_z
_atom_site_occupancy
Nb1 Nb 0.0030 0.1625 0.4387 1
Nb2 Nb 0.3683 0.6887 0.4299 1
Nb3 Nb 0.4024 0.0580 0.2608 1
Ga1 Ga 0.0000 0.0000 0.0000 1
Ga2 Ga 0.1392 0.1182 0.7613 1
Fe1 Fe 0.5000 0.0000 0.5000 1
```

Calculated values
calculated density = 7.9 g/cm³
formation enthalpy at 0 K = -10 meV per atom
crystal system = monoclinic
total magnetization = 0.00 μB/f.u.